Record 1
This record from Alexandria describes Cs2Pu3HgO12 after structural relaxation. The functional is PBE-GGA.

Lattice parameters (Å, degrees): 7.755 7.755 7.755 62.00 62.00 62.00
Each line ends with the local moment (μB).
Positions (direct):
Cs: 0.618 0.618 0.618  0.00
Cs: 0.382 0.382 0.382  0.00
Pu: 0.500 0.000 0.000  1.78
Pu: 0.000 0.500 0.000  1.78
Pu: 0.000 0.000 0.500  1.78
Hg: 0.000 0.000 0.000  -0.02
O: 0.306 0.306 0.924  -0.11
O: 0.921 0.921 0.358  -0.09
O: 0.358 0.921 0.921  -0.09
O: 0.924 0.306 0.306  -0.11
O: 0.921 0.358 0.921  -0.09
O: 0.306 0.924 0.306  -0.11
O: 0.694 0.694 0.076  -0.11
O: 0.079 0.079 0.642  -0.09
O: 0.642 0.079 0.079  -0.09
O: 0.076 0.694 0.694  -0.11
O: 0.079 0.642 0.079  -0.09
O: 0.694 0.076 0.694  -0.11

Output
* space-group type: R-3m
* total moment: 4.00 μB/cell
* DFT total energy: -0.5821 Ry/atom
* calculated volume: 19.14 Å³/atom
* DOS(E_F): 0.140 states/eV per atom
* energy relative to the elements, uncorrected: -2.114 eV/atom

Record 2
This record from Alexandria describes MgTlBr2 after structural relaxation. The functional is PBE-GGA.

Lattice parameters (Å, degrees): 3.857 3.858 10.125 89.31 90.00 90.00
Positions (direct):
Br: 0.000 0.882 0.089
Br: 0.500 0.373 0.411
Mg: 0.000 0.377 0.250
Tl: 0.500 0.869 0.750

Output
* space-group type: Pm
* total moment: 0.00 μB/cell
* DFT total energy: -0.1976 Ry/atom
* calculated volume: 37.66 Å³/atom
* DOS(E_F): 0.457 states/eV per atom
* relative energy among the computed polymorphs: 0.118 eV per atom
* energy relative to the elements, uncorrected: -0.861 eV/atom

Record 3
This record from Alexandria describes BiH3Rh after structural relaxation. The functional is PBE-GGA.

Lattice parameters (Å, degrees): 4.060 4.060 4.060 90.00 90.00 90.00
Each line ends with the local moment (μB).
Positions (direct):
H: 0.000 0.500 0.000  0.02
H: 0.000 0.000 0.500  0.04
H: 0.500 0.000 0.000  0.01
Rh: 0.500 0.500 0.500  0.85
Bi: 0.000 0.000 0.000  -0.03

Output
* space-group type: Pm-3m
* total moment: 0.94 μB/cell
* DFT total energy: -0.2321 Ry/atom
* calculated volume: 13.39 Å³/atom
* DOS(E_F): 1.283 states/eV per atom
* relative energy among the computed polymorphs: 1.037 eV per atom

Record 4
This record from Alexandria describes AlBPbO4 after structural relaxation. The functional is PBE-GGA.

Lattice parameters (Å, degrees): 5.824 7.124 8.127 90.00 90.00 90.00
Positions (direct):
Al: 0.000 0.500 0.500
Al: 0.000 0.000 0.000
Al: 0.500 0.000 0.000
Al: 0.500 0.500 0.500
B: 0.750 0.728 0.757
B: 0.750 0.228 0.743
B: 0.250 0.772 0.257
B: 0.250 0.272 0.243
Pb: 0.250 0.072 0.639
Pb: 0.250 0.572 0.861
Pb: 0.750 0.928 0.361
Pb: 0.750 0.428 0.139
O: 0.955 0.172 0.816
O: 0.955 0.672 0.684
O: 0.455 0.328 0.316
O: 0.750 0.096 0.111
O: 0.045 0.328 0.316
O: 0.250 0.904 0.889
O: 0.750 0.335 0.600
O: 0.250 0.165 0.100
O: 0.545 0.172 0.816
O: 0.045 0.828 0.184
O: 0.250 0.665 0.400
O: 0.750 0.596 0.389
O: 0.545 0.672 0.684
O: 0.750 0.835 0.900
O: 0.250 0.404 0.611
O: 0.455 0.828 0.184

Output
* space-group type: Pnma
* total moment: 0.00 μB/cell
* DFT total energy: -0.5271 Ry/atom
* calculated volume: 12.04 Å³/atom
* DOS(E_F): 0.000 states/eV per atom
* relative energy among the computed polymorphs: 0.002 eV per atom
* energy relative to the elements, uncorrected: -2.320 eV/atom

Record 5
This record from Alexandria describes Pm3IrRh2 after structural relaxation. The functional is PBE-GGA.

Lattice parameters (Å, degrees): 3.523 3.523 10.556 90.00 90.00 90.00
Positions (direct):
Pm: 0.000 0.000 0.000
Pm: 0.000 0.000 0.664
Pm: 0.000 0.000 0.336
Ir: 0.500 0.500 0.500
Rh: 0.500 0.500 0.836
Rh: 0.500 0.500 0.164

Output
* space-group type: P4/mmm
* total moment: 0.00 μB/cell
* DFT total energy: -0.5116 Ry/atom
* ΔH_f (0 K): -0.658 eV per atom
* calculated volume: 21.84 Å³/atom
* DOS(E_F): 0.818 states/eV per atom
* relative energy among the computed polymorphs: 0.019 eV per atom

Record 6
This record from Alexandria describes SiRuI2O after structural relaxation. The functional is PBE-GGA.

Lattice parameters (Å, degrees): 5.368 5.368 3.397 90.00 90.00 90.00
Positions (direct):
I: 0.000 0.500 0.000
I: 0.500 0.000 0.000
Ru: 0.500 0.500 0.500
Si: 0.000 0.000 0.000
O: 0.000 0.000 0.500

Output
* space-group type: P4/mmm
* total moment: 0.00 μB/cell
* DFT total energy: -0.3155 Ry/atom
* calculated volume: 19.58 Å³/atom
* DOS(E_F): 0.930 states/eV per atom
* relative energy among the computed polymorphs: 0.059 eV per atom
* energy relative to the elements, uncorrected: 0.258 eV/atom

Record 7
This record from Alexandria describes KTl2AgF4 after structural relaxation. The functional is PBE-GGA.

Lattice parameters (Å, degrees): 7.660 7.660 7.584 119.65 119.65 89.42
Positions (direct):
K: 0.000 0.500 0.000
K: 0.000 0.500 0.500
Tl: 0.500 0.000 0.000
Tl: 0.500 0.000 0.500
Tl: 0.000 0.000 0.500
Tl: 0.500 0.500 0.000
Ag: 0.500 0.500 0.500
Ag: 0.000 0.000 0.000
F: 0.223 0.756 0.989
F: 0.744 0.277 0.511
F: 0.256 0.723 0.489
F: 0.777 0.244 0.011
F: 0.755 0.746 0.984
F: 0.754 0.745 0.516
F: 0.246 0.255 0.484
F: 0.245 0.254 0.016

Output
* space-group type: Imma
* total moment: 0.00 μB/cell
* DFT total energy: -0.2790 Ry/atom
* calculated volume: 19.96 Å³/atom
* DOS(E_F): 0.000 states/eV per atom
* energy relative to the elements, uncorrected: -1.775 eV/atom

Record 8
This record from Alexandria describes Ho8GaHg2 after structural relaxation. The functional is PBE-GGA.

Lattice parameters (Å, degrees): 5.150 6.902 9.313 105.08 106.05 90.00
Positions (direct):
Ho: 0.410 0.547 0.819
Ho: 0.662 0.969 0.324
Ho: 0.801 0.689 0.603
Ho: 0.978 0.229 0.955
Ho: 0.199 0.311 0.397
Ho: 0.338 0.031 0.676
Ho: 0.590 0.453 0.181
Ho: 0.022 0.771 0.045
Ga: 0.500 0.000 0.000
Hg: 0.814 0.275 0.629
Hg: 0.186 0.725 0.371

Output
* space-group type: C2/m
* total moment: 0.00 μB/cell
* DFT total energy: -0.2883 Ry/atom
* ΔH_f (0 K): -0.263 eV per atom
* calculated volume: 27.84 Å³/atom
* DOS(E_F): 0.786 states/eV per atom

Record 9
This record from Alexandria describes Tc2NiW after structural relaxation. The functional is PBE-GGA.

Lattice parameters (Å, degrees): 9.028 9.028 9.028 17.37 17.37 17.37
Positions (direct):
Ni: 0.749 0.749 0.749
Tc: 0.001 0.001 0.001
Tc: 0.253 0.253 0.253
W: 0.497 0.497 0.497

Output
* space-group type: R3m
* total moment: 0.00 μB/cell
* DFT total energy: -0.7147 Ry/atom
* ΔH_f (0 K): 0.143 eV per atom
* calculated volume: 14.31 Å³/atom
* DOS(E_F): 0.847 states/eV per atom
* relative energy among the computed polymorphs: 0.158 eV per atom

Record 10
This record from Alexandria describes BaTa2In after structural relaxation. The functional is PBE-GGA.

Lattice parameters (Å, degrees): 5.051 5.051 5.051 60.00 60.00 60.00
Positions (direct):
In: 0.000 0.000 0.000
Ba: 0.500 0.500 0.500
Ta: 0.250 0.250 0.250
Ta: 0.750 0.750 0.750

Output
* space-group type: Fm-3m
* total moment: 0.00 μB/cell
* DFT total energy: -0.4346 Ry/atom
* ΔH_f (0 K): 1.178 eV per atom
* calculated volume: 22.79 Å³/atom
* DOS(E_F): 1.924 states/eV per atom
* relative energy among the computed polymorphs: 0.794 eV per atom

Record 11
This record from Alexandria describes YIn2Mo after structural relaxation. The functional is PBE-GGA.

Lattice parameters (Å, degrees): 3.202 3.202 9.320 90.00 90.00 105.63
Positions (direct):
In: 0.000 0.000 0.011
In: 0.500 0.500 0.273
Mo: 0.000 0.000 0.491
Y: 0.500 0.500 0.726

Output
* space-group type: Cmm2
* total moment: 0.00 μB/cell
* DFT total energy: -0.4008 Ry/atom
* ΔH_f (0 K): 0.240 eV per atom
* calculated volume: 23.01 Å³/atom
* DOS(E_F): 0.812 states/eV per atom
* relative energy among the computed polymorphs: 0.234 eV per atom

Record 12
This record from Alexandria describes Li2YOs after structural relaxation. The functional is PBE-GGA.

Lattice parameters (Å, degrees): 5.134 5.134 5.134 133.70 133.70 67.55
Positions (direct):
Li: 0.000 0.000 0.000
Li: 0.500 0.500 0.000
Os: 0.250 0.750 0.500
Y: 0.750 0.250 0.500

Output
* space-group type: I4/mmm
* total moment: 0.00 μB/cell
* DFT total energy: -0.3811 Ry/atom
* ΔH_f (0 K): 0.195 eV per atom
* calculated volume: 17.39 Å³/atom
* DOS(E_F): 0.746 states/eV per atom
* relative energy among the computed polymorphs: 0.036 eV per atom

Record 13
This record from Alexandria describes La8NdCo2 after structural relaxation. The functional is PBE-GGA.

Lattice parameters (Å, degrees): 7.127 7.760 7.760 66.42 105.74 105.74
Positions (direct):
La: 0.304 0.419 0.817
La: 0.696 0.183 0.581
La: 0.312 0.868 0.868
La: 0.688 0.132 0.132
La: 0.304 0.817 0.419
La: 0.696 0.581 0.183
La: 0.813 0.667 0.667
La: 0.187 0.333 0.333
Nd: 0.000 0.000 0.000
Co: 0.600 0.793 0.793
Co: 0.400 0.207 0.207

Output
* space-group type: C2/m
* total moment: 0.00 μB/cell
* DFT total energy: -0.3880 Ry/atom
* ΔH_f (0 K): 0.030 eV per atom
* calculated volume: 33.82 Å³/atom
* DOS(E_F): 1.240 states/eV per atom

Record 14
This record from Alexandria describes Ac2Pm3Ge2 after structural relaxation. The functional is PBE-GGA.

Lattice parameters (Å, degrees): 4.381 6.636 8.986 111.94 90.00 109.27
Positions (direct):
Ac: 0.846 0.693 0.194
Ac: 0.154 0.307 0.806
Pm: 0.500 0.000 0.000
Pm: 0.630 0.259 0.442
Pm: 0.370 0.741 0.558
Ge: 0.844 0.687 0.781
Ge: 0.156 0.313 0.219

Output
* space-group type: C2/m
* total moment: 0.00 μB/cell
* DFT total energy: -0.3687 Ry/atom
* ΔH_f (0 K): -0.487 eV per atom
* calculated volume: 32.35 Å³/atom
* DOS(E_F): 1.188 states/eV per atom

Record 15
This record from Alexandria describes PuCl5 after structural relaxation. The functional is PBE-GGA.

Lattice parameters (Å, degrees): 7.535 7.535 10.325 84.37 115.41 123.13
Each line ends with the local moment (μB).
Positions (direct):
Pu: 0.000 0.000 0.000  3.73
Pu: 0.500 0.000 0.500  3.73
Cl: 0.158 0.374 0.958  -0.14
Cl: 0.189 0.958 0.872  -0.14
Cl: 0.586 0.317 0.628  -0.14
Cl: 0.598 0.848 0.750  -0.07
Cl: 0.084 0.800 0.458  -0.14
Cl: 0.916 0.200 0.542  -0.14
Cl: 0.402 0.152 0.250  -0.07
Cl: 0.414 0.683 0.372  -0.14
Cl: 0.811 0.042 0.128  -0.14
Cl: 0.842 0.626 0.042  -0.14

Output
* space-group type: C2/c
* total moment: 6.00 μB/cell
* DFT total energy: -0.3899 Ry/atom
* calculated volume: 36.34 Å³/atom
* DOS(E_F): 0.938 states/eV per atom
* relative energy among the computed polymorphs: 0.000 eV per atom
* energy relative to the elements, uncorrected: -1.377 eV/atom

Record 16
This record from Alexandria describes Ac3ZnHg2Au6 after structural relaxation. The functional is PBE-GGA.

Lattice parameters (Å, degrees): 6.375 6.375 8.826 90.00 90.00 120.00
Positions (direct):
Ac: 0.333 0.667 0.623
Ac: 0.667 0.333 0.377
Ac: 0.000 0.000 0.000
Zn: 0.000 0.000 0.500
Hg: 0.667 0.333 0.998
Hg: 0.333 0.667 0.002
Au: 0.642 0.821 0.293
Au: 0.179 0.358 0.293
Au: 0.179 0.821 0.293
Au: 0.821 0.642 0.707
Au: 0.358 0.179 0.707
Au: 0.821 0.179 0.707

Output
* space-group type: P-3m1
* total moment: 0.00 μB/cell
* DFT total energy: -0.2474 Ry/atom
* ΔH_f (0 K): -0.544 eV per atom
* calculated volume: 25.89 Å³/atom
* DOS(E_F): 0.534 states/eV per atom

Record 17
This record from Alexandria describes Y2HPtRh after structural relaxation. The functional is PBE-GGA.

Lattice parameters (Å, degrees): 4.877 4.877 3.661 90.00 90.00 90.00
Positions (direct):
Y: 0.000 0.500 0.000
Y: 0.500 0.000 0.000
H: 0.000 0.000 0.000
Rh: 0.500 0.500 0.500
Pt: 0.000 0.000 0.500

Output
* space-group type: P4/mmm
* total moment: 0.00 μB/cell
* DFT total energy: -0.4973 Ry/atom
* calculated volume: 17.42 Å³/atom
* DOS(E_F): 0.211 states/eV per atom
* relative energy among the computed polymorphs: 0.073 eV per atom

Record 18
This record from Alexandria describes Nd2LuI after structural relaxation. The functional is PBE-GGA.

Lattice parameters (Å, degrees): 3.693 3.693 9.608 90.00 90.00 90.00
Positions (direct):
I: 0.500 0.500 0.500
Lu: 0.500 0.500 0.000
Nd: 0.000 0.000 0.744
Nd: 0.000 0.000 0.256

Output
* space-group type: P4/mmm
* total moment: 0.00 μB/cell
* DFT total energy: -0.3115 Ry/atom
* calculated volume: 32.76 Å³/atom
* DOS(E_F): 1.006 states/eV per atom
* relative energy among the computed polymorphs: 0.000 eV per atom
* energy relative to the elements, uncorrected: -0.337 eV/atom

Record 19
This record from Alexandria describes KMgPb4 after structural relaxation. The functional is PBE-GGA.

Lattice parameters (Å, degrees): 7.493 7.493 8.532 90.00 90.00 90.00
Positions (direct):
K: 0.500 0.000 0.500
K: 0.000 0.500 0.500
Mg: 0.500 0.500 0.000
Mg: 0.000 0.000 0.000
Pb: 0.648 0.148 0.000
Pb: 0.852 0.648 0.000
Pb: 0.148 0.352 0.000
Pb: 0.352 0.852 0.000
Pb: 0.000 0.000 0.327
Pb: 0.500 0.500 0.673
Pb: 0.000 0.000 0.673
Pb: 0.500 0.500 0.327

Output
* space-group type: P4/mbm
* total moment: 0.00 μB/cell
* DFT total energy: -0.1981 Ry/atom
* ΔH_f (0 K): 0.226 eV per atom
* calculated volume: 39.92 Å³/atom
* DOS(E_F): 0.717 states/eV per atom
* relative energy among the computed polymorphs: 0.210 eV per atom

Record 20
This record from Alexandria describes BeReSe after structural relaxation. The functional is PBE-GGA.

Lattice parameters (Å, degrees): 4.077 4.077 4.077 60.00 60.00 60.00
Positions (direct):
Re: 0.750 0.750 0.750
Se: 0.000 0.000 0.000
Be: 0.500 0.500 0.500

Output
* space-group type: F-43m
* total moment: 0.00 μB/cell
* DFT total energy: -0.4251 Ry/atom
* calculated volume: 15.97 Å³/atom
* DOS(E_F): 1.000 states/eV per atom
* relative energy among the computed polymorphs: 0.479 eV per atom
* energy relative to the elements, uncorrected: 0.769 eV/atom